No. 1
Compound: LaTbErTm3
Source: the Alexandria database
Functional: PBE-GGA
Structure: optimized geometry

As for the space group: Cmcm. The total DFT energy (no corrections) is -4.4739 eV/atom. The density of states at the Fermi level comes out at 1.980 states/eV/atom. For the total magnetization, the calculation gives 0.000 μB/atom. The energy relative to the elements comes out at 0.12 eV per atom.

Cell and atoms, written as extended XYZ:
```
12
Lattice="-0.048 0.709 -5.734 5.388 -2.402 2.569 -4.160 -10.712 -1.291" Properties=species:S:1:pos:R:3 pbc="T T T"
La -3.114 -7.690 -3.837
La 4.294 -4.714 -0.619
Tb -2.080 -5.356 -0.645
Tb 0.000 0.000 0.000
Er 0.360 -9.016 -4.030
Er 0.820 -3.388 -0.426
Tm -0.210 -5.696 -3.614
Tm 1.391 -6.708 -0.841
Tm -0.671 -12.016 -1.481
Tm 1.851 -0.388 -2.975
Tm -1.293 -8.731 -1.069
Tm 2.473 -3.673 -3.386
```


No. 2
Compound: LaTb5Er2Tm
Source: the Alexandria database
Functional: PBE-GGA
Structure: optimized geometry

As for the space group: Cmc2_1. The total DFT energy (no corrections) is -4.4654 eV/atom. The density of states at the Fermi level comes out at 1.660 states/eV/atom. For the total magnetization, the calculation gives 0.000 μB/atom. The energy relative to the elements comes out at 0.17 eV per atom.

Cell and atoms, written as extended XYZ:
```
18
Lattice="-4.301 -3.194 -1.707 8.450 -5.805 -1.168 -1.163 -3.663 9.784" Properties=species:S:1:pos:R:3 pbc="T T T"
La -2.209 -6.311 8.114
La 4.728 -7.822 2.726
Tb 4.820 -5.778 -1.332
Tb -0.332 -7.833 6.234
Tb 5.185 -9.805 5.282
Tb 2.920 -6.997 5.736
Tb 3.322 -10.661 2.319
Tb -1.305 -5.220 3.796
Tb 3.167 -5.306 1.949
Tb -2.171 -2.770 1.394
Tb 0.162 -5.365 0.372
Tb 0.191 -0.344 0.162
Er 1.765 -10.311 5.589
Er 0.562 -4.349 6.722
Er 1.063 -2.849 2.652
Er 2.463 -8.191 -0.137
Tm 1.041 -7.925 2.945
Tm 2.498 -2.997 -0.684
```


No. 3
Compound: LaTb3Er2Tm6
Source: the Alexandria database
Functional: PBE-GGA
Structure: optimized geometry

As for the space group: C2/m. The total DFT energy (no corrections) is -4.5399 eV/atom. The density of states at the Fermi level comes out at 1.304 states/eV/atom. For the total magnetization, the calculation gives 0.000 μB/atom. The energy relative to the elements comes out at 0.02 eV per atom.

Cell and atoms, written as extended XYZ:
```
12
Lattice="-2.767 -0.968 -5.368 5.213 -2.913 1.318 -6.817 -7.351 5.997" Properties=species:S:1:pos:R:3 pbc="T T T"
La 0.000 0.000 0.000
Tb 0.472 -6.264 3.200
Tb -4.842 -4.968 -1.253
Tb -2.185 -5.616 0.974
Er 2.554 -2.265 -0.910
Er -0.107 -1.616 -3.139
Tm -4.607 -8.080 0.340
Tm 0.120 -4.758 -1.528
Tm 0.237 -3.152 1.607
Tm -1.936 -8.731 2.578
Tm -4.490 -6.474 3.475
Tm -2.434 -2.501 -0.630
```


No. 4
Compound: La2Tb3ErTm6
Source: the Alexandria database
Functional: PBE-GGA
Structure: optimized geometry

As for the space group: C2/m. The total DFT energy (no corrections) is -4.5712 eV/atom. The density of states at the Fermi level comes out at 1.260 states/eV/atom. For the total magnetization, the calculation gives 0.000 μB/atom. The energy relative to the elements comes out at 0.02 eV per atom.

Cell and atoms, written as extended XYZ:
```
12
Lattice="6.158 0.000 0.001 -3.077 5.334 0.001 -1.025 -1.774 11.528" Properties=species:S:1:pos:R:3 pbc="T T T"
La 0.004 3.554 0.001
La 3.076 1.780 0.001
Tb -2.051 3.558 5.765
Tb 4.107 0.002 5.765
Tb 1.028 1.780 5.765
Er 0.000 0.000 0.000
Tm 3.077 1.787 8.609
Tm 2.059 3.564 2.925
Tm -1.021 1.773 2.921
Tm 0.010 3.558 8.609
Tm -0.003 -0.004 8.605
Tm 2.046 0.002 2.921
```


No. 5
Compound: La2TbErTm4
Source: the Alexandria database
Functional: PBE-GGA
Structure: optimized geometry

As for the space group: C2/m. The total DFT energy (no corrections) is -4.5905 eV/atom. The density of states at the Fermi level comes out at 1.358 states/eV/atom. For the total magnetization, the calculation gives 0.000 μB/atom. The energy relative to the elements comes out at 0.03 eV per atom.

Cell and atoms, written as extended XYZ:
```
16
Lattice="-3.527 2.750 -5.551 6.516 -7.089 -7.651 -7.667 0.332 9.608" Properties=species:S:1:pos:R:3 pbc="T T T"
La -9.429 1.707 6.832
La 0.919 -5.548 -5.622
La 2.682 -6.923 -2.846
La 1.494 -2.169 -6.600
Tb 3.258 -3.545 -3.825
Tb -4.102 -0.629 -4.573
Er -2.338 -2.004 -1.797
Er -11.193 3.082 4.057
Tm -3.629 -4.306 2.467
Tm -4.828 0.438 -1.295
Tm 0.151 -4.445 -2.299
Tm -1.048 0.299 -6.061
Tm -5.400 -2.924 -0.323
Tm -1.624 -3.076 -5.069
Tm -3.054 -0.931 1.475
Tm 0.723 -1.084 -3.271
```


No. 6
Compound: LaTb6Er3Tm2
Source: the Alexandria database
Functional: PBE-GGA
Structure: optimized geometry

As for the space group: C2/m. The total DFT energy (no corrections) is -4.5893 eV/atom. The density of states at the Fermi level comes out at 1.329 states/eV/atom. For the total magnetization, the calculation gives 0.000 μB/atom. The energy relative to the elements comes out at 0.02 eV per atom.

Cell and atoms, written as extended XYZ:
```
12
Lattice="6.149 0.001 0.021 -3.073 5.326 0.021 -1.060 -1.836 11.588" Properties=species:S:1:pos:R:3 pbc="T T T"
La 0.000 0.000 0.000
Tb 3.051 1.719 8.692
Tb 2.039 3.531 2.959
Tb -1.035 1.772 2.937
Tb -0.036 3.502 8.692
Tb -0.023 -0.040 8.671
Tb 2.052 -0.011 2.937
Er -2.061 3.518 5.815
Er 4.077 -0.027 5.815
Er 1.008 1.745 5.815
Tm 0.001 3.551 0.021
Tm 3.075 1.776 0.021
```


No. 7
Compound: LaTbYEr2
Source: the Alexandria database
Functional: PBE-GGA
Structure: optimized geometry

As for the space group: Cmcm. The total DFT energy (no corrections) is -4.6664 eV/atom. The density of states at the Fermi level comes out at 1.337 states/eV/atom. For the total magnetization, the calculation gives 0.000 μB/atom. The energy relative to the elements comes out at 0.36 eV per atom.

Cell and atoms, written as extended XYZ:
```
10
Lattice="-3.625 -2.306 -5.823 7.092 0.302 -4.535 -2.391 -5.612 3.710" Properties=species:S:1:pos:R:3 pbc="T T T"
La 3.176 -2.961 -3.053
La -2.100 -4.654 -3.595
Tb 1.330 -3.952 -6.008
Tb -0.253 -3.663 -0.640
Y -0.898 -0.615 -1.446
Y 1.974 -7.001 -5.202
Er 0.395 -1.059 -4.323
Er 4.885 0.208 -3.124
Er 3.073 -0.945 -6.035
Er 2.207 0.094 -1.411
```


No. 8
Compound: LaTb2Y2Er2
Source: the Alexandria database
Functional: PBE-GGA
Structure: optimized geometry

As for the space group: C2/m. The total DFT energy (no corrections) is -5.0642 eV/atom. The density of states at the Fermi level comes out at 1.615 states/eV/atom. For the total magnetization, the calculation gives 0.000 μB/atom. The energy relative to the elements comes out at 0.11 eV per atom.

Cell and atoms, written as extended XYZ:
```
7
Lattice="-3.171 -1.242 0.812 4.846 -3.017 6.758 3.356 0.956 14.557" Properties=species:S:1:pos:R:3 pbc="T T T"
La 1.678 0.478 7.278
Tb 1.101 -0.566 10.974
Tb 3.930 -2.737 11.153
Y 1.427 -2.946 8.606
Y 3.604 -0.356 13.521
Er 4.535 -0.605 16.771
Er 0.496 -2.697 5.356
```